Entry 1:
Compound: AsIr2Pb
Source: the Alexandria database
Functional: GGA-PBE
Structure: optimized geometry

Computed properties:
- calculated volume (Å³ per atom) = 19.1
- ρ (Mg/m³) = 14.5
- relative energy among the computed polymorphs (eV/atom) = 0.164
- energy of formation (eV per atom) = 0.2473

Unit cell a=6.9644 b=6.9644 c=6.9644 alpha=154.48 beta=148.29 gamma=41.13
With the nearest neighbours (Å) after each atom.
Element x y z (fractional)
As1 0.0000 0.0000 0.0000  6 Ir 2.53-2.56
Ir1 0.3722 0.8722 0.5000  2 As 2.53
Ir2 0.5583 0.5583 0.0000  4 As 2.56
Pb1 0.7484 0.2484 0.5000  6 Ir 2.92-2.93, 2 Pb 3.08


Entry 2:
Compound: NbAl2Cu
Source: the Alexandria database
Functional: GGA-PBE
Structure: optimized geometry

Computed properties:
- calculated volume (Å³ per atom) = 15.1
- ρ (Mg/m³) = 5.8
- energy of formation (eV per atom) = -0.3615

Unit cell a=3.9873 b=3.9873 c=3.7903 alpha=90.00 beta=90.00 gamma=90.00
With the nearest neighbours (Å) after each atom.
Element x y z (fractional)
Nb1 0.0000 0.0000 0.0000  8 Al 2.75, 4 Cu 2.82
Al1 0.0000 0.5000 0.5000  4 Nb 2.75, 4 Cu 2.75, 4 Al 2.82
Al2 0.5000 0.0000 0.5000  4 Nb 2.75, 4 Cu 2.75, 4 Al 2.82
Cu1 0.5000 0.5000 0.0000  8 Al 2.75, 4 Nb 2.82


Entry 3:
Compound: SrDy2Rh
Source: the Alexandria database
Functional: GGA-PBE
Structure: optimized geometry

Computed properties:
- calculated volume (Å³ per atom) = 30.4
- ρ (Mg/m³) = 7.0
- relative energy among the computed polymorphs (eV/atom) = 0.000
- energy of formation (eV per atom) = -0.3434

Unit cell a=3.5414 b=3.5414 c=9.6977 alpha=90.00 beta=90.00 gamma=90.00
With the nearest neighbours (Å) after each atom.
Element x y z (fractional)
Sr1 0.0000 0.0000 0.0000  4 Sr 3.54
Dy1 0.5000 0.5000 0.3361  4 Rh 2.97, 1 Dy 3.18
Dy2 0.5000 0.5000 0.6639  4 Rh 2.97, 1 Dy 3.18
Rh1 0.0000 0.0000 0.5000  8 Dy 2.97


Entry 4:
Compound: La2Dy2Se7
Source: the Alexandria database
Functional: GGA-PBE
Structure: optimized geometry

Computed properties:
- calculated volume (Å³ per atom) = 26.1
- energy relative to the elements, uncorrected (eV/atom) = -1.69
- ρ (Mg/m³) = 6.7

Unit cell a=9.0268 b=9.0268 c=9.0268 alpha=153.37 beta=68.15 gamma=118.57
With the nearest neighbours (Å) after each atom.
Element x y z (fractional)
La1 0.2432 0.0000 0.2432  7 Se 2.95-3.16
La2 0.7568 0.0000 0.7568  7 Se 2.95-3.16
Dy1 0.3196 0.8196 0.5000  8 Se 2.84-3.04
Dy2 0.7630 0.7630 0.0000  7 Se 2.93-3.04
Se1 0.0241 0.6987 0.3254  1 Dy 2.84, 3 La 2.95-3.04
Se2 0.0927 0.0927 0.0000  3 Dy 2.95-3.04
Se3 0.3732 0.6987 0.6746  1 Dy 2.84, 3 La 2.95-3.04
Se4 0.3825 0.4885 0.8940  3 Dy 2.99-3.04, 2 La 3.07, 1 Se 3.17
Se5 0.5945 0.4885 0.1060  3 Dy 2.99-3.04, 2 La 3.07, 1 Se 3.17
Se6 0.6766 0.3111 0.3655  2 Dy 2.93, 2 La 3.16
Se7 0.9457 0.3111 0.6345  2 Dy 2.93, 2 La 3.16


Copy entry 1 word for word.
Compound: AsIr2Pb
Source: the Alexandria database
Functional: GGA-PBE
Structure: optimized geometry

Computed properties:
- calculated volume (Å³ per atom) = 19.1
- ρ (Mg/m³) = 14.5
- relative energy among the computed polymorphs (eV/atom) = 0.164
- energy of formation (eV per atom) = 0.2473

Unit cell a=6.9644 b=6.9644 c=6.9644 alpha=154.48 beta=148.29 gamma=41.13
With the nearest neighbours (Å) after each atom.
Element x y z (fractional)
As1 0.0000 0.0000 0.0000  6 Ir 2.53-2.56
Ir1 0.3722 0.8722 0.5000  2 As 2.53
Ir2 0.5583 0.5583 0.0000  4 As 2.56
Pb1 0.7484 0.2484 0.5000  6 Ir 2.92-2.93, 2 Pb 3.08


The highest calculated volume belongs to which entry?
SrDy2Rh